VASP calculation (PBE with a Hubbard U) on a geometry-optimized MoPdF3 structure.

```
MoPdF3
1.0
-0.9862 4.1271 -0.1590
-1.9499 -0.3212 3.7584
3.6409 0.9459 1.9698
F Mo Pd
3 1 1
direct
0.5000 0.0000 0.0000
0.0000 0.0000 0.5000
0.0000 0.5000 0.0000
0.0000 0.0000 0.0000
0.5000 0.5000 0.5000
```

## Properties
total moment = 2.95 Bohr magnetons per cell
raw total energy = -24.81 eV for the cell shown
space group = Pm-3m
density of states at the Fermi level = 4.914 states/eV per cell